[1]
The following is a DFT calculation (SCAN) of a PBEsol-optimized structure of SrNiTeCl2.

Output
The calculation puts the energy relative to the elements, uncorrected at -496 meV per atom. As for the volume: 183.0 Å³ per cell.

The structure in POSCAR format:
```
SrNiTeCl2
1.0
5.2661 0.0000 0.0000
0.0000 5.2661 0.0000
0.0000 0.0000 6.5992
Sr Ni Te Cl
1 1 1 2
direct
0.0000 0.0000 0.0000 Sr
0.5000 0.5000 0.5000 Ni
0.0000 0.0000 0.5000 Te
0.0000 0.5000 0.0000 Cl
0.5000 0.0000 0.0000 Cl
```

=====

[2]
The following is a DFT calculation (SCAN) of a PBEsol-optimized structure of TaNiCl3.

Output
The calculation puts the energy relative to the elements, uncorrected at 218 meV per atom. As for the volume: 107.2 Å³ per cell.

The structure in POSCAR format:
```
TaNiCl3
1.0
4.7499 0.0000 0.0000
0.0000 4.7499 0.0000
0.0000 0.0000 4.7499
Ta Ni Cl
1 1 3
direct
0.0000 0.0000 0.0000 Ta
0.5000 0.5000 0.5000 Ni
0.0000 0.0000 0.5000 Cl
0.0000 0.5000 0.0000 Cl
0.5000 0.0000 0.0000 Cl
```

=====

[3]
The following is a DFT calculation (SCAN) of a PBEsol-optimized structure of TaNiCl2.

Output
The calculation puts the energy relative to the elements, uncorrected at -613 meV per atom. As for the volume: 74.2 Å³ per cell.

The structure in POSCAR format:
```
TaNiCl2
1.0
3.2294 0.0000 0.0000
0.0000 3.0895 0.0000
-1.5811 0.0000 7.4410
Ta Ni Cl
1 1 2
direct
0.0000 0.0000 0.0000 Ta
0.4175 0.5000 0.8307 Ni
0.1239 0.5000 0.2536 Cl
0.8353 0.0000 0.6649 Cl
```

=====

[4]
The following is a DFT calculation (SCAN) of a PBEsol-optimized structure of TaNiCl2.

Output
The calculation puts the energy relative to the elements, uncorrected at -523 meV per atom. As for the volume: 155.6 Å³ per cell.

The structure in POSCAR format:
```
TaNiCl2
1.0
6.5546 0.0000 0.0000
0.0000 3.0342 0.0000
-2.2310 0.0000 7.8219
Ta Ni Cl
2 2 4
direct
0.0000 0.0000 0.0000 Ta
0.5000 0.5000 0.0000 Ta
0.2815 0.5000 0.1819 Ni
0.7815 0.0000 0.1819 Ni
0.0460 0.5000 0.3444 Cl
0.4087 0.0000 0.7569 Cl
0.5460 0.0000 0.3444 Cl
0.9087 0.5000 0.7569 Cl
```

=====

[5]
The following is a DFT calculation (SCAN) of a PBEsol-optimized structure of TaNi2Cl.

Output
The calculation puts the energy relative to the elements, uncorrected at 12 meV per atom. As for the volume: 58.6 Å³ per cell.

The structure in POSCAR format:
```
TaNi2Cl
1.0
2.9185 0.0000 0.0000
0.0000 2.7494 0.0000
-0.0254 0.0000 7.3058
Ta Ni Cl
1 2 1
direct
0.0000 0.0000 0.0000 Ta
0.4977 0.5000 0.7635 Ni
0.5023 0.5000 0.2365 Ni
0.5000 0.0000 0.5000 Cl
```

=====

[6]
The following is a DFT calculation (SCAN) of a PBEsol-optimized structure of Ta2NiCl.

Output
The calculation puts the energy relative to the elements, uncorrected at 296 meV per atom. As for the volume: 57.6 Å³ per cell.

The structure in POSCAR format:
```
Ta2NiCl
1.0
4.5241 0.0000 0.0000
0.0000 4.5241 0.0000
0.0000 0.0000 2.8125
Ta Ni Cl
2 1 1
direct
0.0000 0.5000 0.0000 Ta
0.5000 0.0000 0.0000 Ta
0.0000 0.0000 0.5000 Ni
0.5000 0.5000 0.5000 Cl
```

=====

[7]
The following is a DFT calculation (SCAN) of a PBEsol-optimized structure of TcNiCl.

Output
The calculation puts the energy relative to the elements, uncorrected at 721 meV per atom. As for the volume: 177.8 Å³ per cell.

The structure in POSCAR format:
```
TcNiCl
1.0
5.6228 0.0000 0.0000
0.0000 5.6228 0.0000
0.0000 0.0000 5.6228
Tc Ni Cl
4 4 4
direct
0.0000 0.0000 0.0000 Tc
0.0000 0.5000 0.5000 Tc
0.5000 0.0000 0.5000 Tc
0.5000 0.5000 0.0000 Tc
0.2500 0.2500 0.7500 Ni
0.2500 0.7500 0.2500 Ni
0.7500 0.2500 0.2500 Ni
0.7500 0.7500 0.7500 Ni
0.2500 0.2500 0.2500 Cl
0.2500 0.7500 0.7500 Cl
0.7500 0.2500 0.7500 Cl
0.7500 0.7500 0.2500 Cl
```

=====

[8]
The following is a DFT calculation (SCAN) of a PBEsol-optimized structure of Ni2TeCl.

Output
The calculation puts the energy relative to the elements, uncorrected at 267 meV per atom. As for the volume: 64.2 Å³ per cell.

The structure in POSCAR format:
```
Ni2TeCl
1.0
3.1869 0.0000 0.0000
0.0000 3.1869 0.0000
0.0000 0.0000 6.3224
Ni Te Cl
2 1 1
direct
0.0000 0.0000 0.2229 Ni
0.0000 0.0000 0.7771 Ni
0.5000 0.5000 0.0000 Te
0.5000 0.5000 0.5000 Cl
```

=====

[9]
The following is a DFT calculation (SCAN) of a PBEsol-optimized structure of Ni2TeCl.

Output
The calculation puts the energy relative to the elements, uncorrected at -220 meV per atom. As for the volume: 218.3 Å³ per cell.

The structure in POSCAR format:
```
Ni2TeCl
1.0
3.5996 0.0000 0.0000
-1.7998 3.1173 0.0000
0.0000 0.0000 19.4586
Ni Te Cl
6 3 3
direct
0.0000 0.0000 0.0000 Ni
0.0000 0.0000 0.2730 Ni
0.3333 0.6667 0.6667 Ni
0.3333 0.6667 0.9397 Ni
0.6667 0.3333 0.3333 Ni
0.6667 0.3333 0.6063 Ni
0.0000 0.0000 0.7294 Te
0.3333 0.6667 0.3961 Te
0.6667 0.3333 0.0628 Te
0.0000 0.0000 0.5494 Cl
0.3333 0.6667 0.2161 Cl
0.6667 0.3333 0.8828 Cl
```

=====

[10]
The following is a DFT calculation (SCAN) of a PBEsol-optimized structure of Ti3NiCl.

Output
The calculation puts the energy relative to the elements, uncorrected at 294 meV per atom. As for the volume: 95.2 Å³ per cell.

The structure in POSCAR format:
```
Ti3NiCl
1.0
4.5663 0.0000 0.0000
0.0000 4.5663 0.0000
0.0000 0.0000 4.5663
Ti Ni Cl
3 1 1
direct
0.0000 0.0000 0.5000 Ti
0.0000 0.5000 0.0000 Ti
0.5000 0.0000 0.0000 Ti
0.0000 0.0000 0.0000 Ni
0.5000 0.5000 0.5000 Cl
```

=====

[11]
The following is a DFT calculation (SCAN) of a PBEsol-optimized structure of TlNiCl3.

Output
The calculation puts the energy relative to the elements, uncorrected at -1084 meV per atom. As for the volume: 224.2 Å³ per cell.

The structure in POSCAR format:
```
TlNiCl3
1.0
6.7132 0.0000 0.0000
-3.3566 5.8138 0.0000
0.0000 0.0000 5.7444
Tl Ni Cl
2 2 6
direct
0.3333 0.6667 0.2500 Tl
0.6667 0.3333 0.7500 Tl
0.0000 0.0000 0.0000 Ni
0.0000 0.0000 0.5000 Ni
0.1605 0.3209 0.7500 Cl
0.1605 0.8395 0.7500 Cl
0.3209 0.1605 0.2500 Cl
0.6791 0.8395 0.7500 Cl
0.8395 0.1605 0.2500 Cl
0.8395 0.6791 0.2500 Cl
```

=====

[12]
The following is a DFT calculation (SCAN) of a PBEsol-optimized structure of Tl3NiCl.

Output
The calculation puts the energy relative to the elements, uncorrected at 544 meV per atom. As for the volume: 179.1 Å³ per cell.

The structure in POSCAR format:
```
Tl3NiCl
1.0
5.6364 0.0000 0.0000
0.0000 5.6364 0.0000
0.0000 0.0000 5.6364
Tl Ni Cl
3 1 1
direct
0.0000 0.0000 0.5000 Tl
0.0000 0.5000 0.0000 Tl
0.5000 0.0000 0.0000 Tl
0.5000 0.5000 0.5000 Ni
0.0000 0.0000 0.0000 Cl
```

=====

Number 1: spin magnetization 2.0 Bohr magnetons per cell. Number 2: spin magnetization 2.3 Bohr magnetons per cell. Number 3: spin magnetization 0.0 Bohr magnetons per cell. Number 4: spin magnetization 0.0 Bohr magnetons per cell. Number 5: spin magnetization 0.0 Bohr magnetons per cell. Number 6: spin magnetization 0.0 Bohr magnetons per cell. Number 7: spin magnetization 0.0 Bohr magnetons per cell. Number 8: spin magnetization 0.0 Bohr magnetons per cell. Number 9: spin magnetization 1.5 Bohr magnetons per cell. Number 10: spin magnetization 3.1 Bohr magnetons per cell. Number 11: spin magnetization 4.0 Bohr magnetons per cell. Number 12: spin magnetization 1.2 Bohr magnetons per cell.